# 1
# Ce2Pd2Pb | Alexandria via LeMat-Bulk | PBEsol | relaxed
data_Ce2Pd2Pb
_cell_length_a 7.7960
_cell_length_b 7.7960
_cell_length_c 3.6888
_cell_angle_alpha 90.00
_cell_angle_beta 90.00
_cell_angle_gamma 90.00
_symmetry_space_group_name_H-M 'P 4/m b m'
_symmetry_Int_Tables_number 127
_symmetry_space_group_name_Hall '-P 4 2ab'
loop_
_atom_site_label
_atom_site_type_symbol
_atom_site_fract_x
_atom_site_fract_y
_atom_site_fract_z
Ce1 Ce 0.1753 0.3247 0.0000
Pd1 Pd 0.1261 0.6261 0.5000
Pb1 Pb 0.0000 0.0000 0.5000
# crystal system	tetragonal
# VASP energy	-6.507	eV per atom
# energy of formation	-0.686	eV/atom



# 2
# InPb2 | Alexandria via LeMat-Bulk | PBEsol | relaxed
data_InPb2
_cell_length_a 6.6886
_cell_length_b 5.0294
_cell_length_c 10.0854
_cell_angle_alpha 90.00
_cell_angle_beta 90.00
_cell_angle_gamma 90.00
_symmetry_space_group_name_H-M 'P n m a'
_symmetry_Int_Tables_number 62
_symmetry_space_group_name_Hall '-P 2ac 2n'
loop_
_atom_site_label
_atom_site_type_symbol
_atom_site_fract_x
_atom_site_fract_y
_atom_site_fract_z
In1 In 0.1234 0.2500 0.0819
Pb1 Pb 0.1238 0.2500 0.7502
Pb2 Pb 0.1307 0.2500 0.4149
# crystal system	orthorhombic
# VASP energy	-3.649	eV per atom
# energy of formation	0.011	eV/atom



# 3
# ZrZn2Pt | Alexandria via LeMat-Bulk | PBEsol | relaxed
data_ZrZn2Pt
_cell_length_a 2.8406
_cell_length_b 4.5068
_cell_length_c 5.0824
_cell_angle_alpha 90.00
_cell_angle_beta 92.67
_cell_angle_gamma 90.00
_symmetry_space_group_name_H-M 'P 1 2/m 1'
_symmetry_Int_Tables_number 10
_symmetry_space_group_name_Hall '-P 2y'
loop_
_atom_site_label
_atom_site_type_symbol
_atom_site_fract_x
_atom_site_fract_y
_atom_site_fract_z
Zr1 Zr 0.0000 0.0000 0.0000
Zn1 Zn 0.4668 0.5000 0.7495
Pt1 Pt 0.5000 0.0000 0.5000
# crystal system	monoclinic
# VASP energy	-5.252	eV per atom
# energy of formation	-0.448	eV/atom



# 4
# K2Bi8Se13 | Alexandria via LeMat-Bulk | PBEsol | relaxed
data_K2Bi8Se13
_cell_length_a 17.4153
_cell_length_b 4.1651
_cell_length_c 18.3670
_cell_angle_alpha 90.00
_cell_angle_beta 91.25
_cell_angle_gamma 90.00
_symmetry_space_group_name_H-M 'P 1 21/m 1'
_symmetry_Int_Tables_number 11
_symmetry_space_group_name_Hall '-P 2yb'
loop_
_atom_site_label
_atom_site_type_symbol
_atom_site_fract_x
_atom_site_fract_y
_atom_site_fract_z
K1 K 0.0143 0.2500 0.3482
K2 K 0.2494 0.7500 0.7287
Bi1 Bi 0.0066 0.7500 0.1013
Bi2 Bi 0.1647 0.2500 0.5337
Bi3 Bi 0.1908 0.7500 0.9457
Bi4 Bi 0.2287 0.2500 0.1919
Bi5 Bi 0.3270 0.7500 0.3799
Bi6 Bi 0.3899 0.2500 0.9819
Bi7 Bi 0.4206 0.2500 0.5723
Bi8 Bi 0.4847 0.2500 0.2441
Se1 Se 0.0701 0.7500 0.8255
Se2 Se 0.0707 0.7500 0.4873
Se3 Se 0.1059 0.2500 0.0269
Se4 Se 0.1226 0.7500 0.2175
Se5 Se 0.1265 0.2500 0.6701
Se6 Se 0.2203 0.2500 0.3461
Se7 Se 0.2720 0.2500 0.8714
Se8 Se 0.3055 0.7500 0.0595
Se9 Se 0.3112 0.7500 0.5502
Se10 Se 0.3603 0.7500 0.2314
Se11 Se 0.4054 0.2500 0.7249
Se12 Se 0.4530 0.2500 0.4063
Se13 Se 0.4786 0.7500 0.9068
# crystal system	monoclinic
# VASP energy	-4.265	eV per atom



# 5
# Er4C7 | Alexandria via LeMat-Bulk | PBEsol | relaxed
data_Er4C7
_cell_length_a 3.6143
_cell_length_b 13.5597
_cell_length_c 6.2987
_cell_angle_alpha 90.00
_cell_angle_beta 105.03
_cell_angle_gamma 90.00
_symmetry_space_group_name_H-M 'P 1 21/c 1'
_symmetry_Int_Tables_number 14
_symmetry_space_group_name_Hall '-P 2ybc'
loop_
_atom_site_label
_atom_site_type_symbol
_atom_site_fract_x
_atom_site_fract_y
_atom_site_fract_z
Er1 Er 0.0591 0.1614 0.1637
Er2 Er 0.3658 0.0552 0.7388
C1 C 0.0000 0.0000 0.0000
C2 C 0.2672 0.6029 0.0499
C3 C 0.3728 0.6969 0.0426
C4 C 0.4690 0.2146 0.9244
# crystal system	monoclinic
# VASP energy	-8.256	eV per atom
# energy of formation	-0.327	eV/atom



# 6
# CaZr2P | Alexandria via LeMat-Bulk | PBEsol | relaxed
data_CaZr2P
_cell_length_a 4.1332
_cell_length_b 4.1332
_cell_length_c 9.2903
_cell_angle_alpha 90.00
_cell_angle_beta 90.00
_cell_angle_gamma 90.00
_symmetry_space_group_name_H-M 'I -4 m 2'
_symmetry_Int_Tables_number 119
_symmetry_space_group_name_Hall 'I -4 -2'
loop_
_atom_site_label
_atom_site_type_symbol
_atom_site_fract_x
_atom_site_fract_y
_atom_site_fract_z
Ca1 Ca 0.0000 0.0000 0.0000
Zr1 Zr 0.0000 0.0000 0.5000
Zr2 Zr 0.0000 0.5000 0.7500
P1 P 0.0000 0.5000 0.2500
# crystal system	tetragonal
# VASP energy	-6.624	eV per atom
# energy of formation	-0.098	eV/atom



# 7
# ZnP3F | Alexandria via LeMat-Bulk | PBEsol | relaxed
data_ZnP3F
_cell_length_a 4.5160
_cell_length_b 4.5160
_cell_length_c 4.5160
_cell_angle_alpha 90.00
_cell_angle_beta 90.00
_cell_angle_gamma 90.00
_symmetry_space_group_name_H-M 'P m -3 m'
_symmetry_Int_Tables_number 221
_symmetry_space_group_name_Hall '-P 4 2 3'
loop_
_atom_site_label
_atom_site_type_symbol
_atom_site_fract_x
_atom_site_fract_y
_atom_site_fract_z
Zn1 Zn 0.0000 0.0000 0.0000
P1 P 0.0000 0.0000 0.5000
F1 F 0.5000 0.5000 0.5000
# crystal system	cubic
# VASP energy	-3.302	eV per atom



# 8
# RbF3 | Alexandria via LeMat-Bulk | PBEsol | relaxed
data_RbF3
_cell_length_a 4.4718
_cell_length_b 6.9058
_cell_length_c 9.2710
_cell_angle_alpha 90.00
_cell_angle_beta 90.00
_cell_angle_gamma 90.00
_symmetry_space_group_name_H-M 'P 21 21 21'
_symmetry_Int_Tables_number 19
_symmetry_space_group_name_Hall 'P 2ac 2ab'
loop_
_atom_site_label
_atom_site_type_symbol
_atom_site_fract_x
_atom_site_fract_y
_atom_site_fract_z
Rb1 Rb 0.1213 0.0146 0.3725
F1 F 0.0389 0.6114 0.4168
F2 F 0.0801 0.2209 0.6678
F3 F 0.1952 0.5549 0.8709
# crystal system	orthorhombic
# VASP energy	-3.198	eV per atom



# 9
# Na5Mn3S4O16F4 | Alexandria via LeMat-Bulk | PBEsol | relaxed
data_Na5Mn3S4O16F4
_cell_length_a 6.5608
_cell_length_b 6.6670
_cell_length_c 8.9984
_cell_angle_alpha 94.67
_cell_angle_beta 96.59
_cell_angle_gamma 92.28
_symmetry_space_group_name_H-M 'P -1'
_symmetry_Int_Tables_number 2
_symmetry_space_group_name_Hall '-P 1'
loop_
_atom_site_label
_atom_site_type_symbol
_atom_site_fract_x
_atom_site_fract_y
_atom_site_fract_z
Na1 Na 0.0000 0.0000 0.0000
Na2 Na 0.2341 0.5116 0.6612
Na3 Na 0.4665 0.7374 0.0161
Mn1 Mn 0.0000 0.5000 0.0000
Mn2 Mn 0.2267 0.8374 0.3561
S1 S 0.2450 0.3421 0.2818
S2 S 0.2781 0.0472 0.6981
O1 O 0.0673 0.3169 0.1551
O2 O 0.0966 0.1690 0.6613
O3 O 0.1968 0.5104 0.3900
O4 O 0.2452 0.1524 0.3532
O5 O 0.2621 0.8591 0.5952
O6 O 0.2942 0.9960 0.8560
O7 O 0.4353 0.3868 0.2190
O8 O 0.4618 0.1769 0.6771
F1 F 0.1665 0.7606 0.1224
F2 F 0.2468 0.4570 0.9201
# crystal system	triclinic
# VASP energy	-6.385	eV per atom



# 10
# K2Mg | Alexandria via LeMat-Bulk | PBEsol | relaxed
data_K2Mg
_cell_length_a 15.5902
_cell_length_b 6.6387
_cell_length_c 5.8919
_cell_angle_alpha 90.00
_cell_angle_beta 90.00
_cell_angle_gamma 90.00
_symmetry_space_group_name_H-M 'C m c m'
_symmetry_Int_Tables_number 63
_symmetry_space_group_name_Hall '-C 2c 2'
loop_
_atom_site_label
_atom_site_type_symbol
_atom_site_fract_x
_atom_site_fract_y
_atom_site_fract_z
K1 K 0.1419 0.2120 0.2500
Mg1 Mg 0.0000 0.3617 0.7500
# crystal system	orthorhombic
# VASP energy	-1.153	eV per atom
# energy of formation	0.175	eV/atom



# 11
# Zr | Alexandria via LeMat-Bulk | PBEsol | relaxed
data_Zr
_cell_length_a 3.1811
_cell_length_b 3.1811
_cell_length_c 5.1142
_cell_angle_alpha 90.00
_cell_angle_beta 90.00
_cell_angle_gamma 120.00
_symmetry_space_group_name_H-M 'P 63/m m c'
_symmetry_Int_Tables_number 194
_symmetry_space_group_name_Hall '-P 6c 2c'
loop_
_atom_site_label
_atom_site_type_symbol
_atom_site_fract_x
_atom_site_fract_y
_atom_site_fract_z
Zr1 Zr 0.3333 0.6667 0.2500
# crystal system	hexagonal
# VASP energy	-9.081	eV per atom
# energy of formation	0.009	eV/atom



# 12
# KTcSb2 | Alexandria via LeMat-Bulk | PBEsol | relaxed
data_KTcSb2
_cell_length_a 3.2828
_cell_length_b 3.5203
_cell_length_c 17.5501
_cell_angle_alpha 90.00
_cell_angle_beta 90.00
_cell_angle_gamma 90.00
_symmetry_space_group_name_H-M 'I m m 2'
_symmetry_Int_Tables_number 44
_symmetry_space_group_name_Hall 'I 2 -2'
loop_
_atom_site_label
_atom_site_type_symbol
_atom_site_fract_x
_atom_site_fract_y
_atom_site_fract_z
K1 K 0.0000 0.0000 0.0000
Tc1 Tc 0.0000 0.5000 0.2629
Sb1 Sb 0.0000 0.0000 0.6451
Sb2 Sb 0.0000 0.5000 0.8340
# crystal system	orthorhombic
# VASP energy	-5.377	eV per atom



# 13
# Y2AgCl | Alexandria via LeMat-Bulk | PBEsol | relaxed
data_Y2AgCl
_cell_length_a 4.1893
_cell_length_b 5.7913
_cell_length_c 7.6880
_cell_angle_alpha 90.00
_cell_angle_beta 90.00
_cell_angle_gamma 90.00
_symmetry_space_group_name_H-M 'I m m m'
_symmetry_Int_Tables_number 71
_symmetry_space_group_name_Hall '-I 2 2'
loop_
_atom_site_label
_atom_site_type_symbol
_atom_site_fract_x
_atom_site_fract_y
_atom_site_fract_z
Y1 Y 0.0000 0.0000 0.2301
Ag1 Ag 0.0000 0.5000 0.0000
Cl1 Cl 0.0000 0.5000 0.5000
# crystal system	orthorhombic
# VASP energy	-5.356	eV per atom



# 14
# GdSiPt2 | Alexandria via LeMat-Bulk | PBEsol | relaxed
data_GdSiPt2
_cell_length_a 7.3083
_cell_length_b 6.8974
_cell_length_c 5.4835
_cell_angle_alpha 90.00
_cell_angle_beta 90.00
_cell_angle_gamma 90.00
_symmetry_space_group_name_H-M 'P n m a'
_symmetry_Int_Tables_number 62
_symmetry_space_group_name_Hall '-P 2ac 2n'
loop_
_atom_site_label
_atom_site_type_symbol
_atom_site_fract_x
_atom_site_fract_y
_atom_site_fract_z
Gd1 Gd 0.0269 0.2500 0.1348
Si1 Si 0.1205 0.7500 0.3626
Pt1 Pt 0.1793 0.0515 0.5917
# crystal system	orthorhombic
# VASP energy	-9.703	eV per atom



# 15
# Tb2CI | Alexandria via LeMat-Bulk | PBEsol | relaxed
data_Tb2CI
_cell_length_a 3.7276
_cell_length_b 3.7276
_cell_length_c 14.5574
_cell_angle_alpha 90.00
_cell_angle_beta 90.00
_cell_angle_gamma 120.00
_symmetry_space_group_name_H-M 'P 63/m m c'
_symmetry_Int_Tables_number 194
_symmetry_space_group_name_Hall '-P 6c 2c'
loop_
_atom_site_label
_atom_site_type_symbol
_atom_site_fract_x
_atom_site_fract_y
_atom_site_fract_z
Tb1 Tb 0.3333 0.6667 0.0871
C1 C 0.0000 0.0000 0.0000
I1 I 0.3333 0.6667 0.7500
# crystal system	hexagonal
# VASP energy	-6.197	eV per atom



# 16
# LaTaIn2 | Alexandria via LeMat-Bulk | PBEsol | relaxed
data_LaTaIn2
_cell_length_a 10.2181
_cell_length_b 3.1290
_cell_length_c 6.0064
_cell_angle_alpha 90.00
_cell_angle_beta 98.59
_cell_angle_gamma 90.00
_symmetry_space_group_name_H-M 'C 1 2/m 1'
_symmetry_Int_Tables_number 12
_symmetry_space_group_name_Hall '-C 2y'
loop_
_atom_site_label
_atom_site_type_symbol
_atom_site_fract_x
_atom_site_fract_y
_atom_site_fract_z
La1 La 0.0000 0.0000 0.0000
Ta1 Ta 0.0000 0.5000 0.5000
In1 In 0.2405 0.0000 0.7105
# crystal system	monoclinic
# VASP energy	-5.871	eV per atom
# energy of formation	0.095	eV/atom



# 17
# ScOs2Au | Alexandria via LeMat-Bulk | PBEsol | relaxed
data_ScOs2Au
_cell_length_a 2.7467
_cell_length_b 2.7467
_cell_length_c 8.3666
_cell_angle_alpha 90.00
_cell_angle_beta 90.00
_cell_angle_gamma 90.00
_symmetry_space_group_name_H-M 'P 4/m m m'
_symmetry_Int_Tables_number 123
_symmetry_space_group_name_Hall '-P 4 2'
loop_
_atom_site_label
_atom_site_type_symbol
_atom_site_fract_x
_atom_site_fract_y
_atom_site_fract_z
Sc1 Sc 0.0000 0.0000 0.0000
Os1 Os 0.5000 0.5000 0.2522
Au1 Au 0.0000 0.0000 0.5000
# crystal system	tetragonal
# VASP energy	-8.385	eV per atom
# energy of formation	0.355	eV/atom



# 18
# BaRe2Au | Alexandria via LeMat-Bulk | PBEsol | relaxed
data_BaRe2Au
_cell_length_a 3.8290
_cell_length_b 4.8372
_cell_length_c 5.4151
_cell_angle_alpha 90.00
_cell_angle_beta 100.68
_cell_angle_gamma 90.00
_symmetry_space_group_name_H-M 'P 1 2/m 1'
_symmetry_Int_Tables_number 10
_symmetry_space_group_name_Hall '-P 2y'
loop_
_atom_site_label
_atom_site_type_symbol
_atom_site_fract_x
_atom_site_fract_y
_atom_site_fract_z
Ba1 Ba 0.0000 0.0000 0.0000
Re1 Re 0.2794 0.5000 0.6300
Au1 Au 0.5000 0.0000 0.5000
# crystal system	monoclinic
# VASP energy	-7.323	eV per atom
# energy of formation	0.862	eV/atom



# 19
# Ba2HfAlCd | Alexandria via LeMat-Bulk | PBEsol | relaxed
data_Ba2HfAlCd
_cell_length_a 6.3134
_cell_length_b 6.3134
_cell_length_c 5.2637
_cell_angle_alpha 90.00
_cell_angle_beta 90.00
_cell_angle_gamma 90.00
_symmetry_space_group_name_H-M 'P 4/m m m'
_symmetry_Int_Tables_number 123
_symmetry_space_group_name_Hall '-P 4 2'
loop_
_atom_site_label
_atom_site_type_symbol
_atom_site_fract_x
_atom_site_fract_y
_atom_site_fract_z
Ba1 Ba 0.0000 0.5000 0.0000
Hf1 Hf 0.0000 0.0000 0.5000
Al1 Al 0.5000 0.5000 0.5000
Cd1 Cd 0.0000 0.0000 0.0000
# crystal system	tetragonal
# VASP energy	-3.170	eV per atom
# energy of formation	0.848	eV/atom



# 20
# Li2MnOF3 | Alexandria via LeMat-Bulk | PBEsol | relaxed
data_Li2MnOF3
_cell_length_a 2.8039
_cell_length_b 4.9217
_cell_length_c 10.0925
_cell_angle_alpha 90.00
_cell_angle_beta 90.00
_cell_angle_gamma 90.00
_symmetry_space_group_name_H-M 'P m c 21'
_symmetry_Int_Tables_number 26
_symmetry_space_group_name_Hall 'P 2c -2'
loop_
_atom_site_label
_atom_site_type_symbol
_atom_site_fract_x
_atom_site_fract_y
_atom_site_fract_z
Li1 Li 0.0000 0.2447 0.0000
Li2 Li 0.0000 0.2477 0.5645
Mn1 Mn 0.5000 0.2262 0.2954
O1 O 0.0000 0.0440 0.3705
F1 F 0.0000 0.4588 0.2148
F2 F 0.5000 0.0190 0.1081
F3 F 0.5000 0.4897 0.4769
# crystal system	orthorhombic
# VASP energy	-5.991	eV per atom